Record 1
CsK2CaCd (SCAN, single point on PBEsol structure); energy relative to the elements = 0.2607 eV/atom
1.0
6.084 0.000 0.000
0.000 7.400 0.000
0.000 0.000 7.400
Cs Ca K Cd
1 1 2 1
Cartesian
3.042 3.700 3.700
0.000 0.000 0.000
0.000 0.000 3.700
0.000 3.700 0.000
3.042 0.000 0.000

=====

Record 2
CaCdCu2 (SCAN, single point on PBEsol structure); energy relative to the elements = 0.0958 eV/atom
1.0
-1.319 -3.431 -0.487
1.763 -0.100 -4.067
3.750 -1.678 1.667
Ca Cd Cu
1 1 2
Cartesian
2.097 -2.605 -1.444
-0.660 -1.716 -0.244
1.875 -0.839 0.834
0.882 -0.050 -2.034

=====

Record 3
CaCdCu2 (SCAN, single point on PBEsol structure); energy relative to the elements = -0.0996 eV/atom
1.0
4.423 0.000 0.000
2.211 3.830 0.000
2.211 1.277 4.666
Ca Cd Cu
1 1 2
Cartesian
4.423 2.554 2.333
0.000 0.000 0.000
2.211 1.277 0.467
6.634 3.830 4.200

=====

Record 4
CaCd2Cu2 (SCAN, single point on PBEsol structure); energy relative to the elements = -0.1226 eV/atom
1.0
-2.857 1.894 2.403
-2.544 0.357 -3.306
0.406 -6.142 1.676
Ca Cu Cd
1 2 2
Cartesian
0.000 0.000 0.000
-1.824 -3.986 0.973
-3.172 0.095 -0.200
-2.419 -2.330 -1.041
-2.576 -1.561 1.814

=====

Record 5
Ca3CdCu (SCAN, single point on PBEsol structure); energy relative to the elements = 0.3909 eV/atom
1.0
-4.546 -1.020 -3.346
-1.049 -4.837 2.900
-3.337 2.910 3.646
Ca Cu Cd
3 1 1
Cartesian
-0.525 -2.418 1.450
-1.669 1.455 1.823
-2.273 -0.510 -1.673
-4.466 -1.473 1.600
0.000 0.000 0.000

=====

Record 6
CaCdCuNi2 (SCAN, single point on PBEsol structure); energy relative to the elements = 1.4011 eV/atom
1.0
-3.724 1.729 1.736
1.655 -0.554 4.102
1.906 4.296 -0.189
Ni Ca Cu Cd
2 1 1 1
Cartesian
0.828 -0.277 2.051
-1.862 0.865 0.868
0.000 0.000 0.000
0.953 2.148 -0.095
-0.082 2.736 2.825

=====

Record 7
CaYCd2Cu (SCAN, single point on PBEsol structure); energy relative to the elements = 1.2087 eV/atom
1.0
-3.814 -3.175 -2.575
-1.605 -2.076 4.937
-4.147 4.530 0.557
Y Ca Cu Cd
1 1 1 2
Cartesian
0.000 0.000 0.000
-2.073 2.265 0.278
-4.783 -0.360 1.459
-0.803 -1.038 2.469
-1.907 -1.587 -1.288

=====

Record 8
CaCdN2F (SCAN, single point on PBEsol structure); energy relative to the lowest polymorph listed for this composition = 0 meV per atom; formation energy without anion corrections = -65 meV/atom
1.0
4.113 0.000 0.000
0.000 4.113 0.000
0.000 0.000 4.438
N Ca F Cd
2 1 1 1
Cartesian
0.000 2.057 0.000
2.057 0.000 0.000
2.057 2.057 2.219
0.000 0.000 2.219
0.000 0.000 0.000

=====

Record 9
CaCdN2F (SCAN, single point on PBEsol structure); energy relative to the lowest polymorph listed for this composition = 262 meV per atom; formation energy without anion corrections = 197 meV/atom
1.0
-3.715 -0.602 1.695
1.298 -4.166 1.364
1.512 1.761 3.939
N Ca F Cd
2 1 1 1
Cartesian
0.756 0.881 1.970
0.649 -2.083 0.682
0.000 0.000 0.000
-1.857 -0.301 0.848
-0.452 -1.504 3.499

=====

Record 10
NaCaYCdF8 (SCAN, single point on PBEsol structure); formation energy without anion corrections = -3635 meV/atom
1.0
-5.052 -0.688 -1.800
-1.756 -0.434 5.096
2.617 5.870 -1.468
Na Ca Y Cd F
1 1 1 1 8
Cartesian
0.000 0.000 0.000
-1.272 2.438 2.638
-3.404 -0.561 1.648
-2.920 2.311 -0.810
0.201 4.051 1.790
-1.966 1.028 0.900
-1.384 3.929 -1.519
-5.234 0.490 2.486
-4.390 0.698 0.037
1.044 4.259 -0.654
-2.810 0.820 3.349
-2.227 3.721 0.925

=====

Record 11
CaCdFe (SCAN, single point on PBEsol structure); energy relative to the elements = 0.2333 eV/atom
1.0
-3.193 -0.105 -1.039
-1.393 -0.919 4.373
0.332 4.432 -1.467
Ca Fe Cd
1 1 1
Cartesian
-1.597 -0.052 -0.519
-0.818 0.864 2.426
-0.243 2.648 0.480

=====

Record 12
CaCdFe2 (SCAN, single point on PBEsol structure); energy relative to the elements = 0.4749 eV/atom
1.0
3.393 0.000 0.000
0.000 3.554 0.000
0.000 0.000 6.240
Ca Cd Fe
1 1 2
Cartesian
1.697 1.777 0.000
1.697 1.777 3.120
0.000 0.000 4.214
0.000 0.000 2.026

=====

Record 13
CaCdFe2 (SCAN, single point on PBEsol structure); energy relative to the elements = 0.3114 eV/atom
1.0
3.058 0.000 0.000
0.000 4.787 0.000
-1.529 -2.393 4.777
Ca Cd Fe
1 1 2
Cartesian
0.000 0.000 4.655
0.000 2.393 2.646
0.000 0.000 0.286
1.529 0.000 1.967

=====

Record 14
CaCdFe2 (SCAN, single point on PBEsol structure); energy relative to the elements = 0.3508 eV/atom
1.0
3.850 0.000 0.000
-1.925 4.344 -0.052
0.000 -2.123 4.834
Ca Cd Fe
1 1 2
Cartesian
1.925 0.000 0.000
0.000 -1.061 2.417
1.925 0.689 2.876
0.000 1.533 1.906

=====

Record 15
CaCdFe2 (SCAN, single point on PBEsol structure); energy relative to the elements = 0.6684 eV/atom
1.0
-0.154 -2.752 -0.866
0.329 -2.137 1.915
-9.130 -1.617 1.944
Ca Cd Fe
1 1 2
Cartesian
-4.477 -3.253 1.497
0.000 0.000 0.000
-2.155 -1.627 0.734
-6.800 -4.879 2.260

=====

Record 16
CaCdFe2 (SCAN, single point on PBEsol structure); energy relative to the elements = 0.1679 eV/atom
1.0
-2.332 1.896 -0.813
-1.565 -2.426 -1.166
-3.130 -1.082 6.453
Ca Cd Fe
1 1 2
Cartesian
-1.668 -0.577 3.439
-2.568 -0.479 0.287
-2.966 -1.026 6.116
-4.519 -1.154 4.310

=====

Record 17
CaCdFe2Tc (SCAN, single point on PBEsol structure); energy relative to the elements = 2.1562 eV/atom
1.0
-1.122 2.962 2.906
-3.980 0.084 -1.622
-1.367 -3.625 3.167
Fe Ca Tc Cd
2 1 1 1
Cartesian
-1.990 0.042 -0.811
-0.561 1.481 1.453
0.000 0.000 0.000
-3.234 -0.289 2.226
-0.683 -1.813 1.584

=====

Record 18
CaCdGaPb2 (SCAN, single point on PBEsol structure); energy relative to the elements = 0.1312 eV/atom
1.0
4.980 0.000 0.000
0.000 5.643 0.000
0.000 0.000 5.643
Pb Ca Ga Cd
2 1 1 1
Cartesian
0.000 0.000 2.821
0.000 2.821 0.000
2.490 2.821 2.821
2.490 0.000 0.000
0.000 0.000 0.000

=====

Record 19
CaGdCd2 (SCAN, single point on PBEsol structure); energy relative to the elements = -0.4178 eV/atom
1.0
5.262 0.000 0.000
2.631 4.557 0.000
2.631 1.519 4.296
Ca Gd Cd
1 1 2
Cartesian
0.000 0.000 0.000
5.262 3.038 2.148
2.631 1.519 1.074
7.893 4.557 3.222

=====

Record 20
CaCdGe (SCAN, single point on PBEsol structure); energy relative to the elements = -0.5660 eV/atom
1.0
4.421 0.000 0.000
0.000 7.225 0.000
0.000 -3.613 6.257
Ca Cd Ge
3 3 3
Cartesian
2.211 1.517 2.628
2.211 4.191 0.000
2.211 -2.095 3.629
0.000 -0.915 1.585
0.000 2.698 4.673
0.000 1.830 0.000
0.000 3.613 2.086
0.000 0.000 4.172
2.211 0.000 0.000

=====

Record 21
CaCdGe3 (SCAN, single point on PBEsol structure); energy relative to the elements = 1.0735 eV/atom
1.0
5.309 0.000 0.000
0.000 5.309 0.000
0.000 0.000 5.309
Ge Ca Cd
3 1 1
Cartesian
0.000 2.655 0.000
0.000 0.000 2.655
2.655 0.000 0.000
0.000 0.000 0.000
2.655 2.655 2.655

=====

Record 22
CaCd2H (SCAN, single point on PBEsol structure); total DFT energy (no corrections) = -72.34 eV/f.u.
1.0
-4.618 -0.614 1.745
-2.107 -4.506 -0.070
-0.743 -2.465 4.257
H Ca Cd
1 1 2
Cartesian
0.000 0.000 0.000
-3.734 -3.792 2.967
-1.867 -1.896 1.483
-5.602 -5.689 4.450

=====

Record 23
Ca3CdH (SCAN, single point on PBEsol structure); total DFT energy (no corrections) = -64.41 eV/f.u.
1.0
-1.629 -2.944 3.639
1.664 -3.966 -2.463
4.375 0.412 2.292
H Ca Cd
1 3 1
Cartesian
0.000 0.000 0.000
0.832 -1.983 -1.231
2.187 0.206 1.146
-0.815 -1.472 1.819
2.205 -3.249 1.734

=====

Record 24
CaCdH3 (SCAN, single point on PBEsol structure); total DFT energy (no corrections) = -50.01 eV/f.u.
1.0
4.112 0.000 0.000
0.000 4.112 0.000
0.000 0.000 4.112
H Ca Cd
3 1 1
Cartesian
0.000 2.056 0.000
0.000 0.000 2.056
2.056 0.000 0.000
0.000 0.000 0.000
2.056 2.056 2.056

=====

Record 25
CaCdH2 (SCAN, single point on PBEsol structure); total DFT energy (no corrections) = -47.07 eV/f.u.
1.0
-4.043 -1.972 1.246
2.148 -4.119 0.451
2.054 4.219 4.598
H Ca Cd
4 2 2
Cartesian
-2.298 -2.254 2.434
0.956 -3.250 1.987
0.398 -0.723 4.518
1.261 2.484 3.652
-1.468 -0.399 3.347
-0.947 -3.046 0.849
1.627 -1.473 2.949
0.000 0.000 0.000

=====

Record 26
LiCa2CdH (SCAN, single point on PBEsol structure); total DFT energy (no corrections) = -57.46 eV/f.u.
1.0
4.010 0.000 0.000
0.000 5.112 0.000
0.000 0.000 5.112
H Ca Cd Li
1 2 1 1
Cartesian
0.000 0.000 0.000
0.000 0.000 2.556
0.000 2.556 0.000
2.005 2.556 2.556
2.005 0.000 0.000

=====

Record 27
CaCd2HO (SCAN, single point on PBEsol structure); total DFT energy (no corrections) = -81.72 eV/f.u.
1.0
-3.490 1.464 -0.929
-0.690 -3.089 -2.273
-2.336 -2.749 4.445
H Ca O Cd
1 1 1 2
Cartesian
0.000 0.000 0.000
-1.168 -1.374 2.222
-3.258 -2.187 0.621
-0.345 -1.545 -1.137
-1.745 0.732 -0.465

=====

Record 28
CaHfCd3 (SCAN, single point on PBEsol structure); energy relative to the elements = 1.2110 eV/atom
1.0
5.179 0.000 0.000
0.000 5.179 0.000
0.000 0.000 5.179
Ca Hf Cd
1 1 3
Cartesian
0.000 0.000 0.000
2.590 2.590 2.590
0.000 2.590 0.000
0.000 0.000 2.590
2.590 0.000 0.000

=====

Record 29
CaHf2CdI (SCAN, single point on PBEsol structure); formation energy without anion corrections = 1629 meV/atom
1.0
5.228 0.000 0.000
0.000 5.228 0.000
0.000 0.000 5.460
I Ca Hf Cd
1 1 2 1
Cartesian
2.614 2.614 2.730
0.000 0.000 0.000
0.000 2.614 0.000
2.614 0.000 0.000
0.000 0.000 2.730